# 1
Compound: YHo2Cr2C4
Source: Alexandria via LeMat-Bulk
Functional: GGA-PBE
Structure: optimized geometry Values from VASP.

Quantum ESPRESSO input file:
```
&SYSTEM
  ibrav = 0, nat = 9, ntyp = 4
/
ATOMIC_SPECIES
C 12.01 C.upf
Ho 164.93 Ho.upf
Cr 52.00 Cr.upf
Y 88.91 Y.upf
CELL_PARAMETERS angstrom
-2.643 -2.140 -0.065
5.003 -3.383 -3.019
0.399 -0.673 5.898
ATOMIC_POSITIONS crystal
C 0.784 0.567 0.809
Ho 0.865 0.730 0.456
C 0.457 0.914 0.251
Cr 0.320 0.641 0.013
C 0.216 0.433 0.191
Cr 0.680 0.359 0.987
Ho 0.135 0.270 0.544
C 0.543 0.086 0.749
Y 0.000 0.000 0.000
```

Summary:
Total magnetization ... 0.001 μB per formula unit
DOS at the Fermi energy ... 0.783 states/eV per atom
Formation enthalpy at 0 K ... -0.12 eV/atom

---

# 2
Compound: HoZnCrC
Source: Alexandria via LeMat-Bulk
Functional: GGA-PBE
Structure: optimized geometry Values from VASP.

Quantum ESPRESSO input file:
```
&SYSTEM
  ibrav = 0, nat = 8, ntyp = 4
/
ATOMIC_SPECIES
C 12.01 C.upf
Ho 164.93 Ho.upf
Cr 52.00 Cr.upf
Zn 65.41 Zn.upf
CELL_PARAMETERS angstrom
3.357 0.000 0.000
0.000 3.357 0.000
0.000 0.000 10.606
ATOMIC_POSITIONS crystal
C 0.750 0.750 0.875
Ho 0.750 0.750 0.236
Cr 0.250 0.750 0.000
Ho 0.250 0.250 0.764
C 0.250 0.250 0.125
Cr 0.750 0.250 0.000
Zn 0.250 0.750 0.500
Zn 0.750 0.250 0.500
```

Summary:
Total magnetization ... 0.000 μB per formula unit
DOS at the Fermi energy ... 0.537 states/eV per atom
Formation enthalpy at 0 K ... -0.12 eV/atom

---

# 3
Compound: CrCI2
Source: Alexandria via LeMat-Bulk
Functional: GGA-PBE
Structure: optimized geometry Values from VASP.

Quantum ESPRESSO input file:
```
&SYSTEM
  ibrav = 0, nat = 4, ntyp = 3
/
ATOMIC_SPECIES
C 12.01 C.upf
Cr 52.00 Cr.upf
I 126.90 I.upf
CELL_PARAMETERS angstrom
-4.679 0.318 0.099
-2.384 0.761 -3.968
-2.623 -3.420 -1.853
ATOMIC_POSITIONS crystal
C 0.000 0.000 0.000
Cr 0.500 0.500 0.500
I 0.750 0.750 0.750
I 0.250 0.250 0.250
```

Summary:
Total magnetization ... 0.000 μB per formula unit
DOS at the Fermi energy ... 1.728 states/eV per atom
Polymorph energy (0 for the lowest one) ... 0.1809 eV per atom
Formation energy (no corrections) ... 2.070 eV per atom